Cs3BeTe3 | GGA-PBE | optimized geometry

```
Cs3BeTe3
1.0
8.718 0.000 0.000
0.000 14.427 0.000
-7.255 0.000 10.291
Cs Be Te
12 4 12
direct
0.145 0.061 0.381
0.145 0.123 0.976
0.145 0.377 0.476
0.145 0.439 0.881
0.350 0.705 0.116
0.350 0.795 0.616
0.650 0.205 0.384
0.650 0.295 0.884
0.855 0.561 0.119
0.855 0.623 0.524
0.855 0.877 0.024
0.855 0.939 0.619
0.447 0.044 0.866
0.447 0.456 0.366
0.553 0.544 0.634
0.553 0.956 0.134
0.196 0.152 0.692
0.196 0.348 0.192
0.344 0.603 0.407
0.344 0.897 0.907
0.420 0.548 0.763
0.420 0.952 0.263
0.580 0.048 0.737
0.580 0.452 0.237
0.656 0.103 0.093
0.656 0.397 0.593
0.804 0.652 0.808
0.804 0.848 0.308
```

Summary:
Its formation energy (no corrections) is -17.59 kcal/mol of atoms. The value obtained for the total magnetization is 1.02 μB per formula unit. The total energy comes out at -21.05 eV/f.u.